No. 1
The following is a GGA-PBE calculation of crystalline Li2YZnHg4 at its relaxed geometry, from Alexandria via LeMat-Bulk.

Output
For the total energy, the calculation gives -1.8964 eV per atom.

The structure in extended XYZ format:
```
8
Lattice="-4.636 0.568 0.328 -2.836 -2.046 -3.113 -3.000 -7.627 4.224" Properties=species:S:1:pos:R:3 pbc="T T T"
Hg -2.810 -4.973 2.307
Li -7.832 -6.526 0.861
Li -2.639 -2.579 0.579
Y 0.000 0.000 0.000
Hg -7.661 -4.132 -0.868
Hg -5.404 -6.917 2.428
Hg -5.067 -2.188 -0.988
Zn -5.236 -4.553 0.720
```

=====

No. 2
The following is a GGA-PBE calculation of crystalline LiZn2Hg at its relaxed geometry, from Alexandria via LeMat-Bulk.

Output
For the total energy, the calculation gives -1.1606 eV per atom.

The structure in extended XYZ format:
```
8
Lattice="7.647 0.000 0.000 0.000 7.647 0.000 3.823 3.823 2.668" Properties=species:S:1:pos:R:3 pbc="T T T"
Zn 9.559 9.599 2.001
Hg 7.647 3.823 1.334
Hg 0.000 0.000 0.000
Zn 5.775 1.912 0.667
Li 3.823 7.647 1.334
Li 3.823 3.823 0.000
Zn 1.872 5.735 0.667
Zn 5.735 5.695 2.001
```

=====

No. 3
The following is a GGA-PBE calculation of crystalline Li10Zn6Hg at its relaxed geometry, from Alexandria via LeMat-Bulk.

Output
For the total energy, the calculation gives -1.7256 eV per atom.

The structure in extended XYZ format:
```
17
Lattice="5.463 0.000 0.000 0.000 6.653 -3.841 0.000 0.000 7.682" Properties=species:S:1:pos:R:3 pbc="T T T"
Hg 2.731 0.000 0.000
Li 0.000 4.435 0.000
Li 4.548 0.000 2.282
Li 4.548 4.677 2.700
Li 0.000 2.218 3.841
Zn 1.880 0.000 2.774
Li 0.915 0.000 5.401
Zn 3.583 4.251 -2.454
Li 2.731 2.218 3.841
Li 0.915 1.976 1.141
Zn 3.583 2.403 1.387
Zn 3.583 0.000 4.908
Zn 1.880 4.251 2.454
Li 0.915 4.677 -2.700
Li 4.548 1.976 -1.141
Zn 1.880 2.403 -1.387
Li 2.731 4.435 0.000
```

=====

No. 4
The following is a GGA-PBE calculation of crystalline Li7ZnHg2 at its relaxed geometry, from Alexandria via LeMat-Bulk.

Output
For the total energy, the calculation gives -1.6948 eV per atom.

The structure in extended XYZ format:
```
10
Lattice="-3.183 -0.843 -3.112 4.369 0.097 -1.197 0.764 -10.141 1.965" Properties=species:S:1:pos:R:3 pbc="T T T"
Li 0.250 -3.316 0.642
Li 1.962 -1.690 -1.550
Hg -0.477 -3.033 -1.989
Hg 2.346 -6.787 -0.562
Li 2.540 -9.358 -0.064
Li -0.254 -5.995 -1.415
Li 2.152 -4.206 -1.063
Li 0.582 -7.728 1.497
Li 0.075 -10.373 -0.567
Zn 0.038 -0.504 0.098
```

=====

No. 5
The following is a GGA-PBE calculation of crystalline Li8Zn2Hg at its relaxed geometry, from Alexandria via LeMat-Bulk.

Output
The polymorph energy (0 for the lowest one) is 0 meV per atom. For the total energy, the calculation gives -1.8207 eV per atom.

The structure in extended XYZ format:
```
11
Lattice="4.131 0.000 -1.175 -0.289 5.860 -1.016 -0.062 -0.085 7.630" Properties=species:S:1:pos:R:3 pbc="T T T"
Li 2.546 5.274 1.103
Li 1.457 3.115 5.122
Li 3.788 1.476 5.470
Li 0.496 1.091 1.745
Li -0.009 4.298 -0.031
Hg 2.065 0.000 -0.587
Li 1.233 0.501 4.336
Li 3.283 4.684 3.694
Zn 3.048 2.165 2.868
Zn 0.731 3.610 2.571
Li 2.322 2.659 0.316
```

=====

No. 6
The following is a GGA-PBE calculation of crystalline Li6ZnHg at its relaxed geometry, from Alexandria via LeMat-Bulk.

Output
For the total energy, the calculation gives -1.8120 eV per atom.

The structure in extended XYZ format:
```
8
Lattice="4.762 0.000 0.000 0.000 5.780 -0.185 0.000 -2.725 5.101" Properties=species:S:1:pos:R:3 pbc="T T T"
Li 2.381 5.108 0.233
Li 0.000 2.207 2.036
Li 0.000 0.875 4.531
Zn 0.000 -2.013 4.658
Hg 2.381 0.816 2.900
Li 2.381 3.707 2.853
Li 2.381 2.138 0.328
Li 0.000 -0.620 2.125
```

=====

No. 7
The following is a GGA-PBE calculation of crystalline Li6ZnHg12 at its relaxed geometry, from Alexandria via LeMat-Bulk.

Output
For the total energy, the calculation gives -1.0764 eV per atom.

The structure in extended XYZ format:
```
19
Lattice="7.366 0.393 0.471 -0.728 7.340 0.471 -0.728 -0.849 7.306" Properties=species:S:1:pos:R:3 pbc="T T T"
Zn 0.000 0.000 0.000
Hg 0.753 2.883 4.363
Li 1.514 0.342 5.554
Li 5.112 2.315 1.329
Hg -0.350 0.708 2.673
Li 0.797 4.569 6.918
Hg 2.735 4.082 1.942
Hg 3.174 2.803 6.306
Li 0.109 5.188 2.516
Hg 6.259 6.177 5.574
Hg 2.289 5.568 4.632
Hg 3.620 1.317 3.616
Li 4.396 6.542 2.693
Hg 2.528 0.034 1.174
Li 5.800 1.696 5.732
Hg 0.752 2.673 0.243
Hg 3.381 6.851 7.074
Hg 5.157 4.212 8.004
Hg 5.156 4.002 3.885
```

=====

No. 8
The following is a GGA-PBE calculation of crystalline LiZn2Hg at its relaxed geometry, from Alexandria via LeMat-Bulk.

Output
For the total energy, the calculation gives -1.2780 eV per atom.

The structure in extended XYZ format:
```
4
Lattice="-3.232 1.203 3.210 -0.546 -2.861 0.523 3.585 0.094 3.575" Properties=species:S:1:pos:R:3 pbc="T T T"
Li 0.663 -1.474 4.678
Zn 3.464 -0.134 3.538
Zn 1.641 -1.156 2.085
Hg -0.856 -0.090 2.629
```

=====

No. 9
The following is a GGA-PBE calculation of crystalline Li2ZnHg at its relaxed geometry, from Alexandria via LeMat-Bulk.

Output
For the total energy, the calculation gives -1.4327 eV per atom.

The structure in extended XYZ format:
```
8
Lattice="-3.453 -0.640 -6.438 0.631 -7.296 0.388 -3.868 -4.110 -1.693" Properties=species:S:1:pos:R:3 pbc="T T T"
Li -3.955 -6.112 -3.536
Li -5.376 -9.974 -6.567
Zn -1.411 -3.968 -3.025
Hg -4.366 -4.359 -5.578
Zn -2.325 -7.687 -2.165
Li -3.021 -2.335 -4.351
Hg 0.000 0.000 0.000
Li -1.030 -5.672 -1.033
```

=====

No. 10
The following is a GGA-PBE calculation of crystalline Li2ZnHg6 at its relaxed geometry, from Alexandria via LeMat-Bulk.

Output
The polymorph energy (0 for the lowest one) is 0 meV per atom. For the total energy, the calculation gives -0.9093 eV per atom.

The structure in extended XYZ format:
```
9
Lattice="4.202 0.000 1.399 2.101 6.157 0.698 -0.122 0.001 7.377" Properties=species:S:1:pos:R:3 pbc="T T T"
Hg 3.090 1.162 4.738
Hg 1.744 4.888 1.771
Hg 1.744 1.268 1.772
Hg 3.091 4.996 4.737
Hg 4.437 1.269 7.704
Zn 0.990 3.079 4.038
Li 2.382 3.079 6.865
Li 3.799 3.079 2.609
Hg 4.437 4.890 7.703
```

=====

No. 11
The following is a GGA-PBE calculation of crystalline LiZn2Hg at its relaxed geometry, from Alexandria via LeMat-Bulk.

Output
For the total energy, the calculation gives -1.3072 eV per atom.

The structure in extended XYZ format:
```
4
Lattice="-3.866 1.657 2.433 -3.495 -3.288 -0.767 4.552 -0.669 1.563" Properties=species:S:1:pos:R:3 pbc="T T T"
Zn -3.680 -0.815 0.833
Li -1.312 -2.386 0.814
Hg -1.498 0.086 2.414
Zn -0.001 0.000 0.000
```

=====

No. 12
The following is a GGA-PBE calculation of crystalline Li3ZnHg at its relaxed geometry, from Alexandria via LeMat-Bulk.

Output
The polymorph energy (0 for the lowest one) is 152 meV per atom. For the total energy, the calculation gives -1.5295 eV per atom.

The structure in extended XYZ format:
```
10
Lattice="-0.606 0.782 -4.531 -3.116 -6.105 -0.637 -4.700 4.813 1.460" Properties=species:S:1:pos:R:3 pbc="T T T"
Zn -4.136 0.072 -0.621
Li -3.255 1.903 -2.796
Li -2.447 -1.964 -1.198
Li 0.000 0.000 0.000
Li -5.976 1.453 -2.510
Hg -3.916 -3.144 -3.579
Li -0.303 0.391 -2.265
Li -5.168 -2.413 -0.912
Zn -4.287 -0.582 -3.087
Hg -4.508 2.634 -0.129
```

=====

Formation energy from the elements readings, ordered: -2.40; 0.12; -2.25; -1.67; -1.87; -1.44; -4.07; -0.35; -0.33; -1.27; -0.47; -0.33 eV/f.u.
Volume readings, ordered: 20.92; 19.50; 16.43; 18.41; 16.72; 17.25; 21.20; 17.64; 18.81; 21.32; 16.80; 20.74 Å³ per atom
Magnetic moment readings, ordered: 0.00; 0.00; 0.00; 0.00; 0.00; 0.00; 0.00; 0.00; 0.00; 0.00; 0.00; 0.00 μB/f.u.